(1)
Crystalline AlMoPt at its relaxed geometry, computed with GGA-PBE.

Lattice parameters (Å, degrees): 4.2661 4.2661 4.2661 60.00 60.00 60.00
Element x y z (fractional)
Al: 0.2500 0.2500 0.2500
Mo: 0.0000 0.0000 0.0000
Pt: 0.7500 0.7500 0.7500

Output
ρ: 9.62 g/cm3
V: 18.3 Å³/atom
Crystal system: cubic
Energy: -20.11 eV/cell

=====

(2)
Crystalline AlMoPt at its relaxed geometry, computed with GGA-PBE.

Lattice parameters (Å, degrees): 4.2390 4.2390 4.2390 60.00 60.00 60.00
Element x y z (fractional)
Pt: 0.0000 0.0000 0.0000
Mo: 0.7500 0.7500 0.7500
Al: 0.2500 0.2500 0.2500

Output
ρ: 9.80 g/cm3
V: 18.0 Å³/atom
Crystal system: cubic
Energy: -21.23 eV/cell